## ScOs (PBE)

Data for a geometry-optimized ScOs structure.

Calculated values
- Space group: Fd-3m
- Formation energy from the elements: -2.26 kcal/mol of atoms
- Density of states at the Fermi level: 0.966 states/eV/atom
- V: 33.0 Å³/f.u.
- Calculated density: 11.841 Mg/m³
- Total moment: 0.00 μB/f.u.

Cell: 4.5349 4.5349 4.5349 Å, 60.01 60.01 60.01°
Positions (direct):
Os (0.1250, 0.1250, 0.1250)
Os (0.8750, 0.8750, 0.8750)
Sc (0.3750, 0.3750, 0.3750)
Sc (0.6250, 0.6250, 0.6250)

## HfIr2OsPd (PBE)

Data for a geometry-optimized HfIr2OsPd structure.

Calculated values
- Space group: P4/mmm
- Formation energy from the elements: 39.30 kcal/mol of atoms
- Density of states at the Fermi level: 1.785 states/eV/atom
- V: 102.4 Å³/f.u.
- Calculated density: 13.937 Mg/m³
- Total moment: 0.77 μB/f.u.

Cell: 4.7420 4.5545 4.7420 Å, 90.00 90.00 90.00°
Last column: magnetic moment on the atom in μB.
Positions (direct):
Hf (0.5000, 0.5000, 0.5000)  -0.04
Ir (0.0000, 0.0000, 0.5000)  0.40
Ir (0.5000, 0.0000, 0.0000)  0.21
Os (0.0000, 0.5000, 0.0000)  0.10
Pd (0.0000, 0.0000, 0.0000)  0.13

## ScNbBi2Pb (PBE)

Data for a geometry-optimized ScNbBi2Pb structure.

Calculated values
- Space group: P4/mmm
- Formation energy from the elements: 17.47 kcal/mol of atoms
- Density of states at the Fermi level: 0.972 states/eV/atom
- V: 155.5 Å³/f.u.
- Calculated density: 8.149 Mg/m³
- Total moment: 1.20 μB/f.u.

Cell: 5.5927 4.9710 5.5927 Å, 90.00 90.00 90.00°
Last column: magnetic moment on the atom in μB.
Positions (direct):
Pb (0.5000, 0.5000, 0.5000)  -0.01
Sc (0.0000, 0.0000, 0.0000)  0.00
Nb (0.0000, 0.5000, 0.0000)  1.02
Bi (0.0000, 0.0000, 0.5000)  -0.06
Bi (0.5000, 0.0000, 0.0000)  -0.05

## NaTc2Te (PBE)

Data for a geometry-optimized NaTc2Te structure.

Calculated values
- Space group: I-42d
- Density of states at the Fermi level: 1.775 states/eV/atom
- Uncorrected formation energy: 4.0 eV per formula unit
- V: 82.6 Å³/f.u.
- Calculated density: 6.964 Mg/m³
- Total moment: 0.00 μB/f.u.

Cell: 7.9298 7.9298 6.1928 Å, 50.19 50.19 90.00°
Positions (direct):
Na (0.5000, 0.5000, 0.0000)
Na (0.2500, 0.7500, 0.5000)
Te (0.0000, 0.0000, 0.0000)
Te (0.7500, 0.2500, 0.5000)
Tc (0.6811, 0.1250, 0.2500)
Tc (0.0689, 0.6250, 0.2500)
Tc (0.3750, 0.3189, 0.7500)
Tc (0.8750, 0.9311, 0.7500)